[1]
## Zn4CdSe5 (GGA-PBEsol)

Data for Zn4CdSe5 after structural relaxation.

Computed properties:
formation energy (no corrections) = -6.34 eV per formula unit
E_tot = -3.311 eV/atom

Structure (CIF):
```
data_Zn4CdSe5
_chemical_formula_sum 'Zn12 Cd3 Se15'
_space_group_name_H-M_alt 'R 3 m'
_space_group_IT_number 160
_space_group_name_Hall 'R 3 -2"'
_cell_length_a 4.0377
_cell_length_b 4.0377
_cell_length_c 49.8302
_cell_angle_alpha 90.00
_cell_angle_beta 90.00
_cell_angle_gamma 120.00
loop_
_atom_site_label
_atom_site_fract_x
_atom_site_fract_y
_atom_site_fract_z
_atom_site_occupancy
Zn1 0.0000 0.0000 0.0000 1
Zn2 0.0000 0.0000 0.1940 1
Zn3 0.0000 0.0000 0.3979 1
Zn4 0.0000 0.0000 0.7960 1
Cd1 0.0000 0.0000 0.5957 1
Se1 0.0000 0.0000 0.1451 1
Se2 0.0000 0.0000 0.3490 1
Se3 0.0000 0.0000 0.5432 1
Se4 0.0000 0.0000 0.7470 1
Se5 0.0000 0.0000 0.9512 1
```

***

[2]
## Sr2TcAs (GGA-PBEsol)

Data for Sr2TcAs after structural relaxation.

Computed properties:
E_tot = -4.660 eV/atom

Structure (CIF):
```
data_Sr2TcAs
_chemical_formula_sum 'Sr8 Tc4 As4'
_space_group_name_H-M_alt 'F -4 3 m'
_space_group_IT_number 216
_space_group_name_Hall 'F -4 2 3'
_cell_length_a 7.0783
_cell_length_b 7.0783
_cell_length_c 7.0783
_cell_angle_alpha 90.00
_cell_angle_beta 90.00
_cell_angle_gamma 90.00
loop_
_atom_site_label
_atom_site_fract_x
_atom_site_fract_y
_atom_site_fract_z
_atom_site_occupancy
Sr1 0.0000 0.0000 0.0000 1
Sr2 0.2500 0.2500 0.2500 1
Tc1 0.2500 0.2500 0.7500 1
As1 0.0000 0.0000 0.5000 1
```

***

[3]
## Sc2InPt (GGA-PBEsol)

Data for Sc2InPt after structural relaxation.

Computed properties:
E_tot = -6.429 eV/atom

Structure (CIF):
```
data_Sc2InPt
_chemical_formula_sum 'Sc8 In4 Pt4'
_space_group_name_H-M_alt 'F -4 3 m'
_space_group_IT_number 216
_space_group_name_Hall 'F -4 2 3'
_cell_length_a 6.6448
_cell_length_b 6.6448
_cell_length_c 6.6448
_cell_angle_alpha 90.00
_cell_angle_beta 90.00
_cell_angle_gamma 90.00
loop_
_atom_site_label
_atom_site_fract_x
_atom_site_fract_y
_atom_site_fract_z
_atom_site_occupancy
Sc1 0.0000 0.0000 0.0000 1
Sc2 0.2500 0.2500 0.2500 1
In1 0.0000 0.0000 0.5000 1
Pt1 0.2500 0.2500 0.7500 1
```

***

[4]
## MgAlIn2 (GGA-PBEsol)

Data for MgAlIn2 after structural relaxation.

Computed properties:
E_tot = -2.921 eV/atom

Structure (CIF):
```
data_MgAlIn2
_chemical_formula_sum 'Mg2 Al2 In4'
_space_group_name_H-M_alt 'C 1 m 1'
_space_group_IT_number 8
_cell_length_a 10.7533
_cell_length_b 3.2190
_cell_length_c 5.1774
_cell_angle_alpha 90.00
_cell_angle_beta 102.34
_cell_angle_gamma 90.00
loop_
_space_group_symop_operation_xyz
'x,y,z'
'x,-y,z'
'x+1/2,y+1/2,z'
'x+1/2,-y+1/2,z'
loop_
_atom_site_label
_atom_site_fract_x
_atom_site_fract_y
_atom_site_fract_z
_atom_site_occupancy
Mg1 0.0000 0.0000 0.0000 1
Al1 0.2643 0.0000 0.7288 1
In1 0.0170 0.5000 0.5158 1
In2 0.2537 0.5000 0.2220 1
```

***

[5]
## BaZnCu2S (GGA-PBEsol)

Data for BaZnCu2S after structural relaxation.

Computed properties:
formation energy (no corrections) = 0.33 eV per formula unit
E_tot = -3.290 eV/atom

Structure (CIF):
```
data_BaZnCu2S
_chemical_formula_sum 'Ba1 Zn1 Cu2 S1'
_space_group_name_H-M_alt 'P 4/m m m'
_space_group_IT_number 123
_space_group_name_Hall '-P 4 2'
_cell_length_a 4.4475
_cell_length_b 4.4475
_cell_length_c 5.9422
_cell_angle_alpha 90.00
_cell_angle_beta 90.00
_cell_angle_gamma 90.00
loop_
_atom_site_label
_atom_site_fract_x
_atom_site_fract_y
_atom_site_fract_z
_atom_site_occupancy
Ba1 0.0000 0.0000 0.0000 1
Zn1 0.5000 0.5000 0.0000 1
Cu1 0.0000 0.5000 0.5000 1
S1 0.0000 0.0000 0.5000 1
```

***

[6]
## Zr2TlAs (GGA-PBEsol)

Data for Zr2TlAs after structural relaxation.

Computed properties:
E_tot = -6.808 eV/atom

Structure (CIF):
```
data_Zr2TlAs
_chemical_formula_sum 'Zr2 Tl1 As1'
_space_group_name_H-M_alt 'P 4/m m m'
_space_group_IT_number 123
_space_group_name_Hall '-P 4 2'
_cell_length_a 4.8551
_cell_length_b 4.8551
_cell_length_c 3.4286
_cell_angle_alpha 90.00
_cell_angle_beta 90.00
_cell_angle_gamma 90.00
loop_
_atom_site_label
_atom_site_fract_x
_atom_site_fract_y
_atom_site_fract_z
_atom_site_occupancy
Zr1 0.0000 0.5000 0.0000 1
Tl1 0.0000 0.0000 0.5000 1
As1 0.5000 0.5000 0.5000 1
```